# SmScBiTe PBE optimized geometry
data_SmScBiTe
_chemical_formula_sum 'Sm3 Sc3 Bi3 Te3'
_cell_length_a 4.3650
_cell_length_b 4.3650
_cell_length_c 21.3489
_cell_angle_alpha 90.00
_cell_angle_beta 90.00
_cell_angle_gamma 120.00
_symmetry_space_group_name_H-M 'R 3 m'
_symmetry_Int_Tables_number 160
_symmetry_space_group_name_Hall 'R 3 -2"'
loop_
_atom_site_label
_atom_site_fract_x
_atom_site_fract_y
_atom_site_fract_z
_atom_site_occupancy
Sm1 0.0000 0.0000 0.0000 1
Sc1 0.0000 0.0000 0.5004 1
Bi1 0.0000 0.0000 0.2432 1
Te1 0.0000 0.0000 0.7571 1
# energy = -66.5 eV per cell
# M_tot = 0.0 μB per cell
# N(E_F) = 6.1 states/eV per cell
# ΔE_f (raw) = -1.026 eV/atom